No. 1
First-principles (SCAN) data for LiMg5 at its PBEsol-relaxed geometry, as listed in Alexandria via LeMat-Bulk.

Summary:
D(E_F)	2.3	states/eV/cell
space group	No. 123
volume	127.39	Å³ per cell
DFT formation energy	-0.1	eV per formula unit
spin magnetization	0.02	μB per atom

Cell: 3.288 3.288 11.783 Å, 90.00 90.00 90.00°
Positions (direct):
Mg1 0.500 0.500 0.178
Mg2 0.000 0.000 0.352
Mg3 0.000 0.000 0.000
Mg4 0.500 0.500 0.822
Li1 0.500 0.500 0.500
Mg5 0.000 0.000 0.648



No. 2
First-principles (SCAN) data for LiMg2 at its PBEsol-relaxed geometry, as listed in Alexandria via LeMat-Bulk.

Summary:
D(E_F)	9.5	states/eV/cell
space group	No. 227
volume	491.39	Å³ per cell
DFT formation energy	0.0	eV per formula unit
spin magnetization	0.03	μB per atom

Cell: 8.858 8.858 8.858 Å, 60.00 60.00 60.00°
Positions (direct):
Mg1 0.125 0.625 0.625
Mg2 0.187 0.813 0.187
Mg3 0.813 0.187 0.813
Li1 0.837 0.837 0.837
Li2 0.413 0.413 0.413
Mg4 0.813 0.813 0.187
Mg5 0.437 0.063 0.063
Mg6 0.625 0.125 0.625
Mg7 0.813 0.187 0.187
Mg8 0.437 0.437 0.063
Li3 0.413 0.762 0.413
Li4 0.837 0.837 0.488
Mg9 0.063 0.437 0.063
Li5 0.413 0.413 0.762
Li6 0.488 0.837 0.837
Mg10 0.187 0.813 0.813
Mg11 0.187 0.187 0.813
Li7 0.837 0.488 0.837
Li8 0.762 0.413 0.413
Mg12 0.437 0.063 0.437
Mg13 0.063 0.437 0.437
Mg14 0.063 0.063 0.437
Mg15 0.625 0.625 0.125
Mg16 0.625 0.625 0.625